Here is a relaxed Ca2BiRh crystal from the Alexandria database. Energies are from PBE.

Geometry as extended XYZ:
```
4
Lattice="4.262 0.000 0.000 0.000 4.799 0.000 0.000 0.000 4.799" Properties=species:S:1:pos:R:3 pbc="T T T"
Ca 0.000 0.000 2.400
Ca 0.000 2.400 0.000
Rh 2.131 2.400 2.400
Bi 2.131 0.000 0.000
```

Results
- M_tot: 0.00 μB per cell
- Symmetry: P4/mmm (123)
- Formation energy: -0.4523 eV per atom


Here is a relaxed CaBi2Rh2 crystal from the Alexandria database. Energies are from PBE.

Geometry as extended XYZ:
```
10
Lattice="8.149 0.000 0.000 0.000 8.149 0.000 0.000 0.000 3.378" Properties=species:S:1:pos:R:3 pbc="T T T"
Ca 0.000 0.000 0.000
Ca 4.075 4.075 0.000
Rh 1.114 5.188 1.689
Rh 5.188 7.035 1.689
Rh 7.035 2.961 1.689
Rh 2.961 1.114 1.689
Bi 2.870 6.944 0.000
Bi 6.944 5.279 0.000
Bi 5.279 1.205 0.000
Bi 1.205 2.870 0.000
```

Results
- M_tot: 0.00 μB per cell
- Symmetry: P4/mbm (127)
- Formation energy: -0.1792 eV per atom


Here is a relaxed CaBi3Rh2 crystal from the Alexandria database. Energies are from PBE.

Geometry as extended XYZ:
```
12
Lattice="-2.645 -3.619 4.092 5.591 1.672 5.093 -6.402 4.350 -0.290" Properties=species:S:1:pos:R:3 pbc="T T T"
Ca 0.843 1.537 4.461
Ca -4.298 0.866 4.434
Bi -1.152 -1.384 4.683
Bi -1.555 1.609 7.069
Bi 1.626 -0.553 7.213
Bi -5.081 2.956 1.682
Bi -2.303 3.787 4.212
Bi -1.900 0.794 1.826
Rh 0.000 0.000 0.000
Rh -0.405 3.011 2.401
Rh 2.796 0.836 2.546
Rh -3.201 2.175 -0.145
```

Results
- Distance to the lowest polymorph of the same formula: 2.18 kcal/mol of atoms
- M_tot: 0.00 μB per cell
- Symmetry: P-3m1 (164)
- Formation energy: -0.2285 eV per atom


Here is a relaxed CaBi2Rh crystal from the Alexandria database. Energies are from PBE.

Geometry as extended XYZ:
```
4
Lattice="-0.095 -0.278 3.694 -2.067 -2.622 1.608 7.068 -7.274 1.495" Properties=species:S:1:pos:R:3 pbc="T T T"
Ca 0.000 0.000 0.000
Rh 2.453 -5.087 3.399
Bi 4.552 -5.237 1.583
Bi 0.354 -4.937 5.215
```

Results
- M_tot: 0.00 μB per cell
- Symmetry: R-3m (166)
- Formation energy: -0.0851 eV per atom


Here is a relaxed Ca2BiRh3 crystal from the Alexandria database. Energies are from PBE.

Geometry as extended XYZ:
```
6
Lattice="4.893 0.061 2.376 1.513 4.653 2.376 0.083 0.061 5.438" Properties=species:S:1:pos:R:3 pbc="T T T"
Ca 2.436 1.793 3.826
Ca 4.052 2.982 6.364
Bi 0.000 0.000 0.000
Rh 0.041 0.030 2.719
Rh 2.446 0.030 1.188
Rh 0.756 2.327 1.188
```

Results
- M_tot: 0.00 μB per cell
- Symmetry: R-3m (166)
- Formation energy: -0.4638 eV per atom


Here is a relaxed Ca2BiSb3Rh4 crystal from the Alexandria database. Energies are from PBE.

Geometry as extended XYZ:
```
10
Lattice="-4.305 -1.037 -0.807 1.064 -1.128 -4.225 1.882 -10.326 3.229" Properties=species:S:1:pos:R:3 pbc="T T T"
Ca -1.700 -2.999 0.372
Ca 1.962 -8.409 0.341
Bi -0.679 -6.245 -0.901
Sb 0.941 -5.163 1.615
Sb -0.511 -9.523 2.412
Sb 0.773 -1.886 -1.699
Rh -1.620 -1.082 -2.516
Rh 0.000 0.000 0.000
Rh -0.951 -7.109 1.658
Rh 1.213 -4.299 -0.944
```

Results
- M_tot: 0.00 μB per cell
- ΔE_f (raw): -0.599 eV per atom
- Symmetry: P-4m2 (115)


Here is a relaxed Ca2Sn2BiRh5 crystal from the Alexandria database. Energies are from PBE.

Geometry as extended XYZ:
```
20
Lattice="3.736 0.000 0.000 0.000 10.293 0.000 0.000 0.000 10.293" Properties=species:S:1:pos:R:3 pbc="T T T"
Ca 0.000 6.915 1.768
Ca 0.000 3.378 8.524
Ca 0.000 1.768 3.378
Ca 0.000 8.524 6.915
Sn 0.000 1.302 6.448
Sn 0.000 8.991 3.845
Sn 0.000 6.448 8.991
Sn 0.000 3.845 1.302
Bi 0.000 0.000 0.000
Bi 0.000 5.146 5.146
Rh 1.868 2.087 0.693
Rh 1.868 8.206 9.600
Rh 1.868 0.693 8.206
Rh 1.868 7.233 4.454
Rh 1.868 9.600 2.087
Rh 1.868 3.060 5.839
Rh 1.868 5.839 7.233
Rh 1.868 4.454 3.060
Rh 1.868 5.146 0.000
Rh 1.868 0.000 5.146
```

Results
- M_tot: 0.00 μB per cell
- Symmetry: P4/mbm (127)
- Formation energy: -0.4416 eV per atom


Here is a relaxed CaSn2BiRh crystal from the Alexandria database. Energies are from PBE.

Geometry as extended XYZ:
```
5
Lattice="-4.942 -1.248 0.421 0.076 -1.903 -4.747 1.390 -4.843 1.964" Properties=species:S:1:pos:R:3 pbc="T T T"
Ca 0.695 -2.421 0.982
Rh 0.000 0.000 0.000
Bi -1.738 -3.997 -1.181
Sn 0.038 -0.952 -2.373
Sn -2.471 -0.624 0.210
```

Results
- M_tot: 0.00 μB per cell
- Symmetry: P4/mmm (123)
- Formation energy: -0.3602 eV per atom